Entry 1:
Crystalline Ce2ZnNi at its relaxed geometry, computed with GGA-PBE.

a b c (Å): 7.0365 7.0365 7.0365
angles (deg): 90.00 90.00 90.00
Space group Fm-3m (No. 225)
Unique sites:
Ce1 0.2500 0.2500 0.2500 (multiplicity 8)
Zn1 0.0000 0.0000 0.0000 (multiplicity 4)
Ni1 0.0000 0.0000 0.5000 (multiplicity 4)

The energy above the most stable polymorph in this dataset comes out at 72 meV per atom. Its crystal system is cubic.



Entry 2:
Crystalline CeZn2Ni3 at its relaxed geometry, computed with GGA-PBE.

a b c (Å): 8.9745 8.4083 5.0298
angles (deg): 90.00 90.00 90.00
Space group Cmcm (No. 63)
Unique sites:
Ce1 0.0000 0.2316 0.2500 (multiplicity 4)
Zn1 0.2373 0.5000 0.0000 (multiplicity 8)
Ni1 0.0000 0.4432 0.7500 (multiplicity 4)
Ni2 0.1924 0.2418 0.7500 (multiplicity 8)

The energy above the most stable polymorph in this dataset comes out at 34 meV per atom. Its crystal system is orthorhombic.



Entry 3:
Crystalline CeZn2Ni at its relaxed geometry, computed with GGA-PBE.

a b c (Å): 2.8974 2.8974 27.5291
angles (deg): 90.00 90.00 120.00
Space group R-3m (No. 166, hexagonal axes)
Unique sites:
Ce1 0.0000 0.0000 0.0000 (multiplicity 3)
Zn1 0.0000 0.0000 0.2341 (multiplicity 6)
Ni1 0.0000 0.0000 0.5000 (multiplicity 3)

Its crystal system is trigonal.



| no. | size of the total moment (μB per formula unit) | energy relative to the elements (meV/atom) | electronic total energy (eV for the cell shown) |
| --- | --- | --- | --- |
| 1 | 0.9 | -152 | -78.1 |
| 2 | 0.1 | -284 | -110.1 |
| 3 | 0.0 | -22 | -43.1 |